Record 1
Computed, not measured: a geometry-optimized PrHfTl2 structure at the PBE level of DFT.

The structure belongs to space group R-3m (No. 166, hexagonal axes); the cell edges are 4.8437, 4.8437 and 16.7849 Å and the angles 90.00°, 90.00° and 120.00°. Symmetry generates all atoms from Pr at (0.0000, 0.0000, 0.0000), Hf at (0.0000, 0.0000, 0.5000) and Tl at (0.0000, 0.0000, 0.2324).

The energy above the lowest structure with this stoichiometry comes out at 58.5 meV per atom. As for the magnetic moment: 0.00 μB/atom. As for the density of states at the Fermi level: 3.86 states/eV/f.u.



Record 2
Computed, not measured: a geometry-optimized Pr2HfTl structure at the PBE level of DFT.

The structure belongs to space group R-3m (No. 166, hexagonal axes); the cell edges are 3.3517, 3.3517 and 36.4133 Å and the angles 90.00°, 90.00° and 120.00°. Symmetry generates all atoms from Pr at (0.0000, 0.0000, 0.0872), Hf at (0.0000, 0.0000, 0.0000) and Tl at (0.0000, 0.0000, 0.5000).

The energy above the lowest structure with this stoichiometry comes out at 326.2 meV per atom. As for the magnetic moment: 0.05 μB/atom. As for the density of states at the Fermi level: 5.64 states/eV/f.u.



Record 3
Computed, not measured: a geometry-optimized Pr2HfTl structure at the PBE level of DFT.

The structure belongs to space group P4/mmm (No. 123); the cell edges are 3.460, 3.460 and 9.856 Å and the angles 90.00°, 90.00° and 90.00°. Symmetry generates all atoms from Pr at (0.000, 0.000, 0.247), Hf at (0.500, 0.500, 0.000) and Tl at (0.500, 0.500, 0.500).

The energy above the lowest structure with this stoichiometry comes out at 0.0 meV per atom. As for the magnetic moment: 0.00 μB/atom. As for the density of states at the Fermi level: 4.72 states/eV/f.u.



Record 4
Computed, not measured: a geometry-optimized PrTmHf structure at the PBE level of DFT.

The structure belongs to space group I4mm (No. 107); the cell edges are 3.360, 3.360 and 15.313 Å and the angles 90.00°, 90.00° and 90.00°. Symmetry generates all atoms from Pr at (0.000, 0.000, 0.000), Tm at (0.000, 0.000, 0.691) and Hf at (0.000, 0.000, 0.335).

The energy above the lowest structure with this stoichiometry comes out at 0.0 meV per atom. As for the magnetic moment: 0.00 μB/atom. As for the density of states at the Fermi level: 4.46 states/eV/f.u.



Record 5
Computed, not measured: a geometry-optimized PrTm2Hf structure at the PBE level of DFT.

The structure belongs to space group R3m (No. 160, hexagonal axes); the cell edges are 3.4371, 3.4371 and 33.8824 Å and the angles 90.00°, 90.00° and 120.00°. Symmetry generates all atoms from Pr at (0.0000, 0.0000, 0.0000), Tm at (0.0000, 0.0000, 0.5756), Tm at (0.0000, 0.0000, 0.7568) and Hf at (0.0000, 0.0000, 0.1659).

The energy above the lowest structure with this stoichiometry comes out at 0.0 meV per atom. As for the magnetic moment: 0.00 μB/atom. As for the density of states at the Fermi level: 5.73 states/eV/f.u.



Record 6
Computed, not measured: a geometry-optimized PrTm2Hf structure at the PBE level of DFT.

The structure belongs to space group Fm-3m (No. 225); the cell edges are 7.740, 7.740 and 7.740 Å and the angles 90.00°, 90.00° and 90.00°. Symmetry generates all atoms from Pr at (0.000, 0.000, 0.000), Tm at (0.250, 0.250, 0.250) and Hf at (0.000, 0.000, 0.500).

The energy above the lowest structure with this stoichiometry comes out at 171.5 meV per atom. As for the magnetic moment: 0.17 μB/atom. As for the density of states at the Fermi level: 7.85 states/eV/f.u.



Record 7
Computed, not measured: a geometry-optimized PrTmHf structure at the PBE level of DFT.

The structure belongs to space group P4/nmm (No. 129, origin choice 2); the cell edges are 4.686, 4.686 and 8.318 Å and the angles 90.00°, 90.00° and 90.00°. Symmetry generates all atoms from Pr at (0.250, 0.250, 0.203), Tm at (0.250, 0.250, 0.771) and Hf at (0.250, 0.750, 0.500).

The energy above the lowest structure with this stoichiometry comes out at 112.5 meV per atom. As for the magnetic moment: 0.00 μB/atom. As for the density of states at the Fermi level: 4.64 states/eV/f.u.



Record 8
Computed, not measured: a geometry-optimized PrTmHf structure at the PBE level of DFT.

The structure belongs to space group P3m1 (No. 156); the cell edges are 3.4182, 3.4182 and 8.4784 Å and the angles 90.00°, 90.00° and 120.00°. Symmetry generates all atoms from Pr at (0.0000, 0.0000, 0.0000), Tm at (0.3333, 0.6667, 0.6238) and Hf at (0.6667, 0.3333, 0.3200).

The energy above the lowest structure with this stoichiometry comes out at 18.3 meV per atom. As for the magnetic moment: 0.00 μB/atom. As for the density of states at the Fermi level: 3.38 states/eV/f.u.